# GGA-PBE ReRh, optimized geometry
# energy above the lowest structure with this stoichiometry	427	meV/atom
# VASP energy	-9.65	eV per atom
# DFT formation energy	0.500	eV per formula unit
# Fermi-level density of states	7.3	states/eV per cell
data_ReRh
_chemical_formula_sum 'Re4 Rh4'
_cell_length_a 3.2682
_cell_length_b 3.2682
_cell_length_c 11.1523
_cell_angle_alpha 90.00
_cell_angle_beta 90.00
_cell_angle_gamma 90.00
_symmetry_space_group_name_H-M 'P 4/n m m'
_symmetry_Int_Tables_number 129
loop_
_symmetry_equiv_pos_as_xyz
'x,y,z'
'-x,-y,-z'
'-y+1/2,x,z'
'y+1/2,-x,-z'
'-x+1/2,-y+1/2,z'
'x+1/2,y+1/2,-z'
'y,-x+1/2,z'
'-y,x+1/2,-z'
'x+1/2,-y,-z'
'-x+1/2,y,z'
'-y,-x,-z'
'y,x,z'
'-x,y+1/2,-z'
'x,-y+1/2,z'
'y+1/2,x+1/2,-z'
'-y+1/2,-x+1/2,z'
loop_
_atom_site_label
_atom_site_fract_x
_atom_site_fract_y
_atom_site_fract_z
_atom_site_occupancy
Re1 0.2500 0.2500 0.0547 1
Re2 0.2500 0.2500 0.3156 1
Rh1 0.2500 0.2500 0.5678 1
Rh2 0.2500 0.2500 0.8073 1